(1)
## Tb4Tm3 (PBE)

Data for a relaxed structure of Tb4Tm3.

a = 11.122 Å, b = 4.984 Å, c = 7.877 Å
α = 90.00°, β = 98.19°, γ = 90.00°
Space group C2/m (No. 12)
Inequivalent atoms, fractional coordinates:
Tb 0.143 0.000 0.428
Tb 0.214 0.500 0.142
Tm 0.000 0.000 0.000
Tm 0.071 0.500 0.714

Output
VASP energy, eV per atom: -4.542
Formation enthalpy at 0 K, meV per atom: 20
Fermi-level density of states, states/eV/cell: 18.6

***

(2)
## Pm5Tl2Au (PBE)

Data for a relaxed structure of Pm5Tl2Au.

a = 6.962 Å, b = 13.335 Å, c = 5.134 Å
α = 90.00°, β = 90.00°, γ = 90.00°
Space group Pbam (No. 55)
Inequivalent atoms, fractional coordinates:
Pm 0.000 0.000 0.000
Pm 0.110 0.280 0.000
Pm 0.175 0.598 0.500
Tl 0.134 0.850 0.500
Au 0.000 0.500 0.000

Output
VASP energy, eV per atom: -4.363
Formation enthalpy at 0 K, meV per atom: -393
Fermi-level density of states, states/eV/cell: 21.5
Polymorph energy (0 for the lowest one), meV per atom: 0